Hf2TiWO after structural relaxation. Source: the Alexandria database, functional GGA+U.

```
Hf2TiWO
1.0
4.436 0.000 0.000
0.000 4.320 0.000
0.000 0.000 4.436
Hf O W Ti
2 1 1 1
Direct
0.000 0.000 0.500 Hf
0.500 0.000 0.000 Hf
0.000 0.000 0.000 O
0.000 0.500 0.000 W
0.500 0.500 0.500 Ti
```

Output
Its space group is P4/mmm, No. 123. Its total energy is -42.86 eV for the cell shown.